Entry from Alexandria via LeMat-Bulk: crystalline Ac2MgN at its relaxed geometry (PBE-GGA).

Results
E_form (uncorrected) = -0.3205 eV per atom
Energy relative to the lowest polymorph listed for this composition = 240 meV per atom
VASP energy = -58.3 eV for the cell shown

abc: 3.7638 3.7638 30.7913
angles: 90.00 90.00 120.00
With the nearest neighbours (Å) after each atom.
Space group R-3m (No. 166, hexagonal axes)
Inequivalent atoms, fractional coordinates:
Ac 0.0000 0.0000 0.1177 [6 per cell]  3 N 2.65
Mg 0.0000 0.0000 0.0000 [3 per cell]  2 Ac 3.62, 6 Mg 3.76
N 0.0000 0.0000 0.5000 [3 per cell]  6 Ac 2.65